[1]
## Li3CuB (PBE-GGA)

Data for a relaxed structure of Li3CuB.

abc: 4.1717 4.1717 4.1717
angles: 90.00 90.00 90.00
With the nearest neighbours (Å) after each atom.
Atoms (fractional coordinates):
1 Li 0.0000 0.0000 0.5000  2 B 2.09
2 Li 0.0000 0.5000 0.0000  2 B 2.09
3 Li 0.5000 0.0000 0.0000  2 B 2.09
4 Cu 0.5000 0.5000 0.5000  12 Li 2.95
5 B 0.0000 0.0000 0.0000  6 Li 2.09

ρ in g/cm3: 2.18
Excess energy over the best structure of this formula in the dataset in eV/atom: 0.000
DFT total energy in eV/atom: -2.671
ΔH_f (0 K) in meV/atom: 632
D(E_F) in states/eV/atom: 0.48
Magnetization in μB per formula unit: 0.85

=====

[2]
## HoMg2Ga2Pd (PBE-GGA)

Data for a relaxed structure of HoMg2Ga2Pd.

abc: 6.4577 6.4577 6.4577
angles: 132.91 132.91 68.79
With the nearest neighbours (Å) after each atom.
Atoms (fractional coordinates):
1 Ho 0.0000 0.0000 0.0000  2 Ga 2.94
2 Mg 0.2500 0.7500 0.5000  4 Ga 2.59
3 Mg 0.7500 0.2500 0.5000  4 Ga 2.59
4 Ga 0.2756 0.2756 0.0000  1 Pd 2.39, 4 Mg 2.59
5 Ga 0.7244 0.7244 0.0000  1 Pd 2.39, 4 Mg 2.59
6 Pd 0.5000 0.5000 0.0000  2 Ga 2.39

ρ in g/cm3: 5.38
DFT total energy in eV/atom: -3.143
ΔH_f (0 K) in meV/atom: 26
D(E_F) in states/eV/atom: 0.65
Magnetization in μB per formula unit: 0.00

=====

[3]
## TiInAu (PBE-GGA)

Data for a relaxed structure of TiInAu.

abc: 6.5478 6.5478 5.8615
angles: 98.82 98.82 27.69
With the nearest neighbours (Å) after each atom.
Atoms (fractional coordinates):
1 Ti 0.0000 0.0000 0.0000  4 Au 2.83, 4 Ti 2.93-3.13, 4 In 2.99
2 Ti 0.0000 0.0000 0.5000  4 Au 2.80, 4 Ti 2.93-3.13, 4 In 3.04
3 In 0.3314 0.3314 0.7024  4 Au 2.91-2.98, 4 Ti 2.99-3.04, 2 In 3.13
4 In 0.6686 0.6686 0.2976  4 Au 2.91-2.98, 4 Ti 2.99-3.04, 2 In 3.13
5 Au 0.3545 0.3545 0.2046  4 Ti 2.80-2.83, 4 In 2.91-2.98, 2 Au 3.13
6 Au 0.6455 0.6455 0.7954  4 Ti 2.80-2.83, 4 In 2.91-2.98, 2 Au 3.13

ρ in g/cm3: 10.36
DFT total energy in eV/atom: -4.876
ΔH_f (0 K) in meV/atom: -239
D(E_F) in states/eV/atom: 0.83
Magnetization in μB per formula unit: 0.43

=====

Q: Look up the ΔH_f (0 K) of the first one.
A: 632 meV/atom